Here is a geometry-optimized CsLiPrTe3 structure from Alexandria via LeMat-Bulk. Energies are from PBE.

abc: 4.835 9.456 10.933
angles: 90.00 90.00 104.81
Sites, in units of the cell vectors:
Cs1 0.247 0.493 0.250
Cs2 0.753 0.507 0.750
Li1 0.519 0.037 0.750
Li2 0.481 0.963 0.250
Pr1 0.000 0.000 0.500
Pr2 0.000 0.000 0.000
Te1 0.603 0.207 0.096
Te2 0.397 0.793 0.904
Te3 0.397 0.793 0.596
Te4 0.603 0.207 0.404
Te5 0.090 0.180 0.750
Te6 0.910 0.820 0.250

Computed properties:
VASP energy = -3.94 eV/atom
Raw formation energy = -1.111 eV/atom

---

Here is a geometry-optimized Cs2LiPt4 structure from Alexandria via LeMat-Bulk. Energies are from PBE.

abc: 4.478 4.478 9.596
angles: 76.51 76.51 90.00
Sites, in units of the cell vectors:
Cs1 0.666 0.666 0.667
Cs2 0.334 0.334 0.333
Pt1 0.883 0.883 0.233
Pt2 0.117 0.117 0.767
Pt3 0.000 0.500 0.000
Pt4 0.500 0.000 0.000
Li1 0.000 0.000 0.000

Computed properties:
Energy relative to the elements = 0.542 eV per atom
VASP energy = -3.43 eV/atom

---

Here is a geometry-optimized CsLi3Pt structure from Alexandria via LeMat-Bulk. Energies are from PBE.

abc: 5.126 5.126 5.126
angles: 90.00 90.00 90.00
Sites, in units of the cell vectors:
Cs1 0.500 0.500 0.500
Pt1 0.000 0.000 0.000
Li1 0.000 0.500 0.000
Li2 0.000 0.000 0.500
Li3 0.500 0.000 0.000

Computed properties:
Energy relative to the elements = -0.097 eV per atom
VASP energy = -2.62 eV/atom
Energy relative to the lowest polymorph listed for this composition = 0.0000 eV per atom

---

Here is a geometry-optimized CsLi3Pt structure from Alexandria via LeMat-Bulk. Energies are from PBE.

abc: 4.905 4.905 4.905
angles: 90.00 90.00 90.00
Sites, in units of the cell vectors:
Cs1 0.000 0.000 0.000
Pt1 0.500 0.500 0.500
Li1 0.000 0.500 0.000
Li2 0.000 0.000 0.500
Li3 0.500 0.000 0.000

Computed properties:
Energy relative to the elements = 1.049 eV per atom
VASP energy = -1.48 eV/atom
Energy relative to the lowest polymorph listed for this composition = 1.1460 eV per atom

---

Here is a geometry-optimized CsLiPt3 structure from Alexandria via LeMat-Bulk. Energies are from PBE.

abc: 5.312 5.312 5.312
angles: 90.00 90.00 90.00
Sites, in units of the cell vectors:
Cs1 0.000 0.000 0.000
Pt1 0.000 0.500 0.000
Pt2 0.000 0.000 0.500
Pt3 0.500 0.000 0.000
Li1 0.500 0.500 0.500

Computed properties:
Energy relative to the elements = 1.657 eV per atom
VASP energy = -2.52 eV/atom
Energy relative to the lowest polymorph listed for this composition = 1.0468 eV per atom

---

Here is a geometry-optimized CsLiPt3 structure from Alexandria via LeMat-Bulk. Energies are from PBE.

abc: 4.666 4.666 4.666
angles: 90.00 90.00 90.00
Sites, in units of the cell vectors:
Cs1 0.500 0.500 0.500
Pt1 0.000 0.500 0.000
Pt2 0.000 0.000 0.500
Pt3 0.500 0.000 0.000
Li1 0.000 0.000 0.000

Computed properties:
Energy relative to the elements = 0.610 eV per atom
VASP energy = -3.57 eV/atom
Energy relative to the lowest polymorph listed for this composition = 0.0000 eV per atom

---

Here is a geometry-optimized Cs2RbLiPt structure from Alexandria via LeMat-Bulk. Energies are from PBE.

abc: 7.024 7.024 5.212
angles: 90.00 90.00 90.00
Sites, in units of the cell vectors:
Cs1 0.000 0.500 0.000
Cs2 0.500 0.000 0.000
Rb1 0.500 0.500 0.500
Pt1 0.000 0.000 0.000
Li1 0.000 0.000 0.500

Computed properties:
Energy relative to the elements = 0.065 eV per atom
VASP energy = -2.06 eV/atom

---

Here is a geometry-optimized Cs2LiPtRh structure from Alexandria via LeMat-Bulk. Energies are from PBE.

abc: 6.720 4.689 6.720
angles: 90.00 90.00 90.00
Sites, in units of the cell vectors:
Cs1 0.000 0.000 0.500
Cs2 0.500 0.000 0.000
Rh1 0.500 0.500 0.500
Pt1 0.000 0.000 0.000
Li1 0.000 0.500 0.000

Computed properties:
Energy relative to the elements = 0.728 eV per atom
VASP energy = -2.67 eV/atom
Energy relative to the lowest polymorph listed for this composition = 0.0440 eV per atom

---

> The highest VASP energy belongs to which entry?

number 4

---

> Which value of VASP energy does entry 7 give?

-2.06 eV/atom